# 1
A plane-wave DFT calculation with SCAN was carried out for LiCuPb at its PBEsol-relaxed geometry.

It has space group Fmm2 (No. 42), with a = 4.920 Å, b = 4.952 Å, c = 8.462 Å, α = 90.00°, β = 90.00° and γ = 90.00°. The inequivalent atoms are Li at (0.000, 0.000, 0.000), Cu at (0.000, 0.000, 0.349) and Pb at (0.000, 0.000, 0.680).

The density of states at the Fermi level is 1.20 states/eV/f.u. The uncorrected energy comes out at -374.2 eV per cell.

***

# 2
A plane-wave DFT calculation with SCAN was carried out for Ca11Bi10 at its PBEsol-relaxed geometry.

It has space group I4/mmm (No. 139), with a = 12.175 Å, b = 12.175 Å, c = 17.581 Å, α = 90.00°, β = 90.00° and γ = 90.00°. The inequivalent atoms are Ca at (0.000, 0.000, 0.165), Ca at (0.000, 0.251, 0.310), Ca at (0.000, 0.341, 0.103), Ca at (0.162, 0.162, 0.500), Bi at (0.000, 0.000, 0.373), Bi at (0.000, 0.348, 0.500), Bi at (0.000, 0.500, 0.250), Bi at (0.131, 0.131, 0.000) and Bi at (0.205, 0.205, 0.173).

The density of states at the Fermi level is 6.48 states/eV/f.u. The uncorrected energy comes out at -3643.5 eV per cell.

***

# 3
A plane-wave DFT calculation with SCAN was carried out for LiSi at its PBEsol-relaxed geometry.

It has space group Pmma (No. 51), with a = 4.360 Å, b = 2.697 Å, c = 4.683 Å, α = 90.00°, β = 90.00° and γ = 90.00°. The inequivalent atoms are Li at (0.250, 0.000, 0.141) and Si at (0.250, 0.500, 0.630).

The calculation puts the formation energy without anion corrections at -0.081 eV/atom. The density of states at the Fermi level is 0.49 states/eV/f.u. The uncorrected energy comes out at -25.1 eV per cell.

***

# 4
A plane-wave DFT calculation with SCAN was carried out for TmSnPt at its PBEsol-relaxed geometry.

It has space group P-62m (No. 189), with a = 7.3673 Å, b = 7.3673 Å, c = 3.9222 Å, α = 90.00°, β = 90.00° and γ = 120.00°. The inequivalent atoms are Tm at (0.0000, 0.5951, 0.0000), Sn at (0.0000, 0.2607, 0.5000), Pt at (0.0000, 0.0000, 0.0000) and Pt at (0.3333, 0.6667, 0.5000).

The density of states at the Fermi level is 0.83 states/eV/f.u. The uncorrected energy comes out at -485.5 eV per cell.

***

Number 1: total magnetic moment 0.00 μB/atom. Number 2: total magnetic moment 0.00 μB/atom. Number 3: total magnetic moment 0.00 μB/atom. Number 4: total magnetic moment 0.00 μB/atom.